Entry 1:
5
Lattice="5.029 0.000 0.000 0.000 5.029 0.000 0.000 0.000 5.029" Properties=species:S:1:pos:R:3 comment="BaSbRu3 | Alexandria via LeMat-Bulk | GGA-PBE | optimized geometry" e_form_raw_mev_per_atom=2429 energy_ev_per_atom=-4.346 spacegroup=Pm-3m pbc="T T T"
Ba 0.000 0.000 0.000
Sb 2.514 2.514 2.514
Ru 0.000 0.000 2.514
Ru 0.000 2.514 0.000
Ru 2.514 0.000 0.000

Entry 2:
10
Lattice="9.697 -2.221 0.000 9.697 2.221 0.000 -2.231 0.000 8.500" Properties=species:S:1:pos:R:3 comment="Ce4Te5Se | Alexandria via LeMat-Bulk | GGA-PBE | optimized geometry" e_form_raw_mev_per_atom=-1346 energy_ev_per_atom=-5.638 spacegroup=C2/m pbc="T T T"
Ce -0.530 0.000 2.100
Ce 4.451 0.000 7.664
Ce 12.712 0.000 0.836
Ce 17.694 0.000 6.399
Te 2.437 0.000 2.894
Te 1.344 0.000 7.139
Te 8.582 0.000 4.250
Te 15.820 0.000 1.361
Te 14.726 0.000 5.606
Se 9.697 0.000 0.000

Entry 3:
3
Lattice="-2.021 2.021 6.645 2.021 -2.021 6.645 2.021 2.021 -6.645" Properties=species:S:1:pos:R:3 comment="CaHgSe | Alexandria via LeMat-Bulk | GGA-PBE | optimized geometry" e_form_raw_mev_per_atom=-1099 energy_ev_per_atom=-3.029 spacegroup=I4mm pbc="T T T"
Ca 0.000 0.000 0.000
Hg 0.000 0.000 3.156
Se 0.000 0.000 6.243

Entry 4:
20
Lattice="6.866 3.964 2.408 -6.866 3.964 2.408 0.000 -7.928 2.408" Properties=species:S:1:pos:R:3 comment="RbGa7Ag12 | Alexandria via LeMat-Bulk | GGA-PBE | optimized geometry" energy_ev_per_atom=-2.755 spacegroup=R-3m formation_enthalpy_0k_mev_per_atom=64 pbc="T T T"
Rb 0.000 0.000 0.000
Ga 0.000 -2.804 2.167
Ga -2.428 1.402 2.167
Ga -2.428 -1.402 5.056
Ga 0.000 0.000 3.612
Ga 2.428 1.402 2.167
Ga 2.428 -1.402 5.056
Ga 0.000 2.804 5.056
Ag -1.815 -4.784 2.408
Ag -5.050 0.820 2.408
Ag -2.244 -1.296 2.258
Ag 1.815 -4.784 2.408
Ag -3.235 3.964 2.408
Ag 2.244 -1.296 2.258
Ag 0.000 2.592 2.258
Ag 0.000 -2.592 4.965
Ag -2.244 1.296 4.965
Ag 5.050 0.820 2.408
Ag 3.235 3.964 2.408
Ag 2.244 1.296 4.965

Entry 5:
12
Lattice="3.042 -5.272 0.000 3.042 5.272 0.000 -2.035 0.000 11.460" Properties=species:S:1:pos:R:3 comment="Tb2Y6Tm3In | Alexandria via LeMat-Bulk | GGA-PBE | optimized geometry" energy_ev_per_atom=-5.390 spacegroup=C2/m formation_enthalpy_0k_mev_per_atom=-40 pbc="T T T"
Tb 3.042 3.521 0.000
Tb 3.042 -3.521 0.000
Y 0.012 1.731 8.612
Y 1.039 0.000 2.858
Y 0.012 -1.731 8.612
Y 4.036 1.731 2.847
Y 3.009 0.000 8.602
Y 4.036 -1.731 2.847
Tm -1.018 0.000 5.730
Tm 2.024 1.754 5.730
Tm 2.024 -1.754 5.730
In 3.042 0.000 0.000

Entry 6:
16
Lattice="-4.211 4.211 7.257 4.211 -4.211 7.257 4.211 4.211 -7.257" Properties=species:S:1:pos:R:3 comment="AcPm2Te5 | Alexandria via LeMat-Bulk | GGA-PBE | optimized geometry" e_form_raw_mev_per_atom=-1355 energy_ev_per_atom=-5.020 spacegroup=I4/mcm pbc="T T T"
Ac 0.000 0.000 3.628
Ac 0.000 0.000 10.885
Pm 5.496 1.285 0.000
Pm 1.285 2.926 0.000
Pm 2.926 1.285 7.257
Pm -1.285 2.926 7.257
Te 0.000 0.000 0.000
Te 2.921 1.290 -2.122
Te 2.921 -1.290 5.135
Te 2.921 1.290 2.122
Te 2.921 -1.290 9.379
Te 0.000 0.000 7.257
Te 1.290 5.501 -2.122
Te 1.290 2.921 5.135
Te 1.290 5.501 2.122
Te 1.290 2.921 9.379

Entry 7:
4
Lattice="1.931 1.115 13.394 -1.931 1.115 13.394 0.000 -2.230 13.394" Properties=species:S:1:pos:R:3 comment="KCa2Y | Alexandria via LeMat-Bulk | GGA-PBE | optimized geometry" energy_ev_per_atom=-2.723 spacegroup=R-3m formation_enthalpy_0k_mev_per_atom=168 pbc="T T T"
K 0.000 0.000 0.000
Ca 0.000 0.000 9.661
Ca 0.000 0.000 30.522
Y 0.000 0.000 20.092

Entry 8:
11
Lattice="5.493 -3.126 0.000 5.493 3.126 0.000 -3.109 0.000 6.068" Properties=species:S:1:pos:R:3 comment="Cs2Li2HgF6 | Alexandria via LeMat-Bulk | GGA-PBE | optimized geometry" e_form_raw_mev_per_atom=-2426 energy_ev_per_atom=-3.977 spacegroup=C2/m pbc="T T T"
Cs 1.847 0.000 1.028
Cs 6.030 0.000 5.040
Li 2.332 0.000 4.484
Li 5.545 0.000 1.584
Hg -1.555 0.000 3.034
F 4.586 1.534 1.447
F 0.569 0.000 4.120
F 3.290 1.534 4.621
F 4.586 -1.534 1.447
F 7.308 0.000 1.948
F 3.290 -1.534 4.621

no.,volume (Å³/cell)
1,127
2,366
3,109
4,393
5,368
6,515
7,173
8,208